Entry from Alexandria via LeMat-Bulk: a relaxed CrCoN2O crystal (GGA+U).

a b c (Å): 3.659 3.659 3.845
angles (deg): 90.00 90.00 90.00
Sites, in units of the cell vectors:
Cr: 0.000 0.000 0.000
Co: 0.500 0.500 0.500
N: 0.000 0.500 0.000
N: 0.500 0.000 0.000
O: 0.000 0.000 0.500

## Properties
Crystal system ... tetragonal
DFT total energy ... -30.5 eV/cell
Magnetic moment ... 2.794 μB/f.u.
DOS(E_F) ... 0.29 states/eV/atom